Entry 1:
DFT (GGA-PBE) results for an optimized crystal structure of Ta2InC.

Computed properties:
Its calculated volume is 20.74 Å³ per atom. The calculated total energy comes out at -8.20 eV/atom. The value obtained for the energy of formation is 716 meV per atom. The calculation puts the energy above the most stable polymorph in this dataset at 1.102 eV/atom.

Unit cell a=5.551 b=5.551 c=10.772 alpha=90.00 beta=90.00 gamma=90.00
Space group I-42d (No. 122)
Inequivalent atoms, fractional coordinates:
Ta: 0.119 0.250 0.125 [8 per cell]
In: 0.000 0.000 0.500 [4 per cell]
C: 0.000 0.000 0.000 [4 per cell]

---

Entry 2:
DFT (GGA-PBE) results for an optimized crystal structure of Ta2InC.

Computed properties:
Its calculated volume is 15.98 Å³ per atom. The calculated total energy comes out at -9.25 eV/atom. The value obtained for the energy of formation is -329 meV per atom. The calculation puts the energy above the most stable polymorph in this dataset at 0.056 eV/atom.

Unit cell a=3.1799 b=3.1799 c=21.9028 alpha=90.00 beta=90.00 gamma=120.00
Space group R-3m (No. 166, hexagonal axes)
Inequivalent atoms, fractional coordinates:
Ta: 0.0000 0.0000 0.2208 [6 per cell]
In: 0.0000 0.0000 0.0000 [3 per cell]
C: 0.0000 0.0000 0.5000 [3 per cell]

---

Entry 3:
DFT (GGA-PBE) results for an optimized crystal structure of TaTi2InC.

Computed properties:
Its calculated volume is 15.69 Å³ per atom. The calculated total energy comes out at -8.30 eV/atom. The value obtained for the energy of formation is -378 meV per atom.

Unit cell a=4.258 b=4.258 c=4.327 alpha=90.00 beta=90.00 gamma=90.00
Space group P4/mmm (No. 123)
Inequivalent atoms, fractional coordinates:
Ta: 0.000 0.000 0.000 [1 per cell]
Ti: 0.000 0.500 0.500 [2 per cell]
In: 0.500 0.500 0.000 [1 per cell]
C: 0.000 0.000 0.500 [1 per cell]